(1)
K2InGaCl6 | PBE | relaxed

Summary:
Raw total energy (eV/atom): -3.30
V (Å³ per atom): 30.8
Formation energy from raw total energies (eV per atom): -1.393

The structure in POSCAR format:
```
K2InGaCl6
1.0
7.526 0.000 0.000
3.763 6.518 0.000
3.763 2.172 6.285
Cl K Ga In
6 2 1 1
Direct
0.464 0.643 0.789 Cl
0.178 0.004 0.259 Cl
0.104 0.464 0.789 Cl
0.643 0.104 0.789 Cl
0.558 0.178 0.259 Cl
0.004 0.558 0.259 Cl
0.035 0.035 0.895 K
0.542 0.541 0.375 K
0.813 0.813 0.561 Ga
0.321 0.321 0.038 In
```


(2)
LaInGaCl2 | PBE | relaxed

Summary:
Raw total energy (eV/atom): -3.24
V (Å³ per atom): 32.3
Formation energy from raw total energies (eV per atom): -0.360

The structure in POSCAR format:
```
LaInGaCl2
1.0
-0.405 5.148 0.330
-6.015 -0.466 -0.120
-0.077 -0.337 5.163
La Cl In Ga
1 2 1 1
Direct
0.000 0.500 0.000 La
0.500 0.000 0.000 Cl
0.000 0.000 0.500 Cl
0.500 0.500 0.500 In
0.000 0.000 0.000 Ga
```